(1)
RhCl2O | GGA-PBE | optimized geometry

The structure in CIF format:
```
data_RhCl2O
_chemical_formula_sum 'Rh4 Cl8 O4'
_cell_length_a 6.2396
_cell_length_b 6.2396
_cell_length_c 7.1122
_cell_angle_alpha 90.00
_cell_angle_beta 90.00
_cell_angle_gamma 90.00
_symmetry_space_group_name_H-M 'I -4 2 d'
_symmetry_Int_Tables_number 122
_symmetry_space_group_name_Hall 'I -4 2bw'
loop_
_atom_site_label
_atom_site_type_symbol
_atom_site_fract_x
_atom_site_fract_y
_atom_site_fract_z
_atom_site_occupancy
Rh1 Rh 0.0000 0.0000 0.0000 1
Cl1 Cl 0.2332 0.2500 0.1250 1
O1 O 0.0000 0.0000 0.5000 1
```

Output
- Formation energy from raw total energies: 0.65 eV/atom
- DOS at the Fermi energy: 3.44 states/eV/f.u.


(2)
RhClO2 | GGA-PBE | optimized geometry

The structure in CIF format:
```
data_RhClO2
_chemical_formula_sum 'Rh3 Cl3 O6'
_cell_length_a 2.9001
_cell_length_b 2.9001
_cell_length_c 25.5390
_cell_angle_alpha 90.00
_cell_angle_beta 90.00
_cell_angle_gamma 120.00
_symmetry_space_group_name_H-M 'R -3 m'
_symmetry_Int_Tables_number 166
_symmetry_space_group_name_Hall '-R 3 2"'
loop_
_atom_site_label
_atom_site_type_symbol
_atom_site_fract_x
_atom_site_fract_y
_atom_site_fract_z
_atom_site_occupancy
Rh1 Rh 0.0000 0.0000 0.0000 1
Cl1 Cl 0.0000 0.0000 0.5000 1
O1 O 0.0000 0.0000 0.0677 1
```

Output
- Formation energy from raw total energies: 0.38 eV/atom
- DOS at the Fermi energy: 1.94 states/eV/f.u.


(3)
RhCl2O | GGA-PBE | optimized geometry

The structure in CIF format:
```
data_RhCl2O
_chemical_formula_sum 'Rh4 Cl8 O4'
_cell_length_a 6.1472
_cell_length_b 6.1472
_cell_length_c 6.1472
_cell_angle_alpha 90.00
_cell_angle_beta 90.00
_cell_angle_gamma 90.00
_symmetry_space_group_name_H-M 'F m -3 m'
_symmetry_Int_Tables_number 225
_symmetry_space_group_name_Hall '-F 4 2 3'
loop_
_atom_site_label
_atom_site_type_symbol
_atom_site_fract_x
_atom_site_fract_y
_atom_site_fract_z
_atom_site_occupancy
Rh1 Rh 0.0000 0.0000 0.0000 1
Cl1 Cl 0.2500 0.2500 0.2500 1
O1 O 0.0000 0.0000 0.5000 1
```

Output
- Formation energy from raw total energies: 0.78 eV/atom
- DOS at the Fermi energy: 4.26 states/eV/f.u.


(4)
Rh3ClO | GGA-PBE | optimized geometry

The structure in CIF format:
```
data_Rh3ClO
_chemical_formula_sum 'Rh3 Cl1 O1'
_cell_length_a 4.2122
_cell_length_b 4.2122
_cell_length_c 4.2122
_cell_angle_alpha 90.00
_cell_angle_beta 90.00
_cell_angle_gamma 90.00
_symmetry_space_group_name_H-M 'P m -3 m'
_symmetry_Int_Tables_number 221
_symmetry_space_group_name_Hall '-P 4 2 3'
loop_
_atom_site_label
_atom_site_type_symbol
_atom_site_fract_x
_atom_site_fract_y
_atom_site_fract_z
_atom_site_occupancy
Rh1 Rh 0.0000 0.0000 0.5000 1
Cl1 Cl 0.5000 0.5000 0.5000 1
O1 O 0.0000 0.0000 0.0000 1
```

Output
- Energy above the lowest structure with this stoichiometry: 0.000 eV/atom
- Formation energy from raw total energies: 0.58 eV/atom
- DOS at the Fermi energy: 7.53 states/eV/f.u.


(5)
RhClO2 | GGA-PBE | optimized geometry

The structure in CIF format:
```
data_RhClO2
_chemical_formula_sum 'Rh4 Cl4 O8'
_cell_length_a 5.9593
_cell_length_b 5.9593
_cell_length_c 7.8993
_cell_angle_alpha 90.00
_cell_angle_beta 90.00
_cell_angle_gamma 90.00
_symmetry_space_group_name_H-M 'I -4 2 d'
_symmetry_Int_Tables_number 122
_symmetry_space_group_name_Hall 'I -4 2bw'
loop_
_atom_site_label
_atom_site_type_symbol
_atom_site_fract_x
_atom_site_fract_y
_atom_site_fract_z
_atom_site_occupancy
Rh1 Rh 0.0000 0.0000 0.0000 1
Cl1 Cl 0.0000 0.0000 0.5000 1
O1 O 0.0980 0.2500 0.1250 1
```

Output
- Formation energy from raw total energies: 0.03 eV/atom
- DOS at the Fermi energy: 7.80 states/eV/f.u.


(6)
RhCl3O | GGA-PBE | optimized geometry

The structure in CIF format:
```
data_RhCl3O
_chemical_formula_sum 'Rh1 Cl3 O1'
_cell_length_a 4.4872
_cell_length_b 4.4872
_cell_length_c 4.4872
_cell_angle_alpha 90.00
_cell_angle_beta 90.00
_cell_angle_gamma 90.00
_symmetry_space_group_name_H-M 'P m -3 m'
_symmetry_Int_Tables_number 221
_symmetry_space_group_name_Hall '-P 4 2 3'
loop_
_atom_site_label
_atom_site_type_symbol
_atom_site_fract_x
_atom_site_fract_y
_atom_site_fract_z
_atom_site_occupancy
Rh1 Rh 0.0000 0.0000 0.0000 1
Cl1 Cl 0.0000 0.5000 0.5000 1
O1 O 0.5000 0.5000 0.5000 1
```

Output
- Energy above the lowest structure with this stoichiometry: 1.364 eV/atom
- Formation energy from raw total energies: 0.94 eV/atom
- DOS at the Fermi energy: 5.74 states/eV/f.u.


(7)
RhS2ClO8 | GGA-PBE | optimized geometry

The structure in CIF format:
```
data_RhS2ClO8
_chemical_formula_sum 'Rh2 S4 Cl2 O16'
_cell_length_a 8.1374
_cell_length_b 5.2076
_cell_length_c 9.1938
_cell_angle_alpha 90.00
_cell_angle_beta 109.13
_cell_angle_gamma 90.00
_symmetry_space_group_name_H-M 'C 1 2/m 1'
_symmetry_Int_Tables_number 12
loop_
_symmetry_equiv_pos_as_xyz
'x,y,z'
'-x,-y,-z'
'-x,y,-z'
'x,-y,z'
'x+1/2,y+1/2,z'
'-x+1/2,-y+1/2,-z'
'-x+1/2,y+1/2,-z'
'x+1/2,-y+1/2,z'
loop_
_atom_site_label
_atom_site_type_symbol
_atom_site_fract_x
_atom_site_fract_y
_atom_site_fract_z
_atom_site_occupancy
Rh1 Rh 0.0000 0.0000 0.0000 1
S1 S 0.0797 0.5000 0.8230 1
Cl1 Cl 0.0000 0.0000 0.5000 1
O1 O 0.0300 0.2683 0.1645 1
O2 O 0.1057 0.5000 0.6761 1
O3 O 0.2395 0.5000 0.9639 1
```

Output
- Formation energy from raw total energies: -0.80 eV/atom
- DOS at the Fermi energy: 8.06 states/eV/f.u.


(8)
SiRh2ClO | GGA-PBE | optimized geometry

The structure in CIF format:
```
data_SiRh2ClO
_chemical_formula_sum 'Si1 Rh2 Cl1 O1'
_cell_length_a 4.5432
_cell_length_b 4.5432
_cell_length_c 4.6190
_cell_angle_alpha 90.00
_cell_angle_beta 90.00
_cell_angle_gamma 90.00
_symmetry_space_group_name_H-M 'P 4/m m m'
_symmetry_Int_Tables_number 123
_symmetry_space_group_name_Hall '-P 4 2'
loop_
_atom_site_label
_atom_site_type_symbol
_atom_site_fract_x
_atom_site_fract_y
_atom_site_fract_z
_atom_site_occupancy
Si1 Si 0.0000 0.0000 0.0000 1
Rh1 Rh 0.0000 0.5000 0.0000 1
Cl1 Cl 0.0000 0.0000 0.5000 1
O1 O 0.5000 0.5000 0.5000 1
```

Output
- Formation energy from raw total energies: 0.96 eV/atom
- DOS at the Fermi energy: 5.46 states/eV/f.u.


(9)
RuClO | GGA-PBE | optimized geometry

The structure in CIF format:
```
data_RuClO
_chemical_formula_sum 'Ru2 Cl2 O2'
_cell_length_a 3.5166
_cell_length_b 5.4134
_cell_length_c 6.1249
_cell_angle_alpha 104.80
_cell_angle_beta 98.78
_cell_angle_gamma 93.73
_symmetry_space_group_name_H-M 'P 1'
_symmetry_Int_Tables_number 1
loop_
_symmetry_equiv_pos_as_xyz
'x,y,z'
loop_
_atom_site_label
_atom_site_type_symbol
_atom_site_fract_x
_atom_site_fract_y
_atom_site_fract_z
_atom_site_occupancy
Ru1 Ru 0.0000 0.0000 0.0000 1
Ru2 Ru 0.2764 0.5787 0.1141 1
Cl1 Cl 0.6976 0.3520 0.8353 1
Cl2 Cl 0.8533 0.7436 0.3773 1
O1 O 0.2037 0.2822 0.2355 1
O2 O 0.4732 0.8530 0.9511 1
```

Output
- Energy above the lowest structure with this stoichiometry: 0.112 eV/atom
- Formation energy from raw total energies: -0.41 eV/atom
- DOS at the Fermi energy: 1.17 states/eV/f.u.


(10)
Ru2ClO | GGA-PBE | optimized geometry

The structure in CIF format:
```
data_Ru2ClO
_chemical_formula_sum 'Ru8 Cl4 O4'
_cell_length_a 4.0960
_cell_length_b 4.0960
_cell_length_c 13.8007
_cell_angle_alpha 90.00
_cell_angle_beta 90.00
_cell_angle_gamma 90.00
_symmetry_space_group_name_H-M 'I -4 2 d'
_symmetry_Int_Tables_number 122
_symmetry_space_group_name_Hall 'I -4 2bw'
loop_
_atom_site_label
_atom_site_type_symbol
_atom_site_fract_x
_atom_site_fract_y
_atom_site_fract_z
_atom_site_occupancy
Ru1 Ru 0.1735 0.2500 0.1250 1
Cl1 Cl 0.0000 0.0000 0.5000 1
O1 O 0.0000 0.0000 0.0000 1
```

Output
- Energy above the lowest structure with this stoichiometry: 0.000 eV/atom
- Formation energy from raw total energies: 0.23 eV/atom
- DOS at the Fermi energy: 3.54 states/eV/f.u.


no.,E_tot (eV/atom)
1,-3.35
2,-4.40
3,-3.22
4,-5.20
5,-4.75
6,-2.63
7,-5.56
8,-4.43
9,-5.77
10,-6.11